# 1
TaMnCu2 (PBE, relaxed); DOS(E_F) = 0.6179 states/eV/atom; VASP energy = -28.5 eV for the cell shown; space group = Cm; formation energy from the elements = 16.3 kJ per mole of atoms; polymorph energy (0 for the lowest one) = 80 meV/atom; crystal system = monoclinic; calculated volume = 13.93 Å³ per atom
1.0
4.6569 -0.0435 0.1819
3.8529 2.6160 0.1819
0.8621 0.2606 4.5475
Cu Mn Ta
2 1 1
Cartesian
8.4619 2.5580 0.4589 Cu
2.3170 0.7004 1.1761 Cu
4.7480 1.4353 2.4630 Mn
7.0406 2.1284 3.6329 Ta

=====

# 2
PIrCl (PBE, relaxed); DOS(E_F) = 1.7135 states/eV/atom; formation energy (no corrections) = 0.95 eV per atom; VASP energy = -13.3 eV for the cell shown; space group = F-43m; polymorph energy (0 for the lowest one) = 1193 meV/atom; crystal system = cubic; calculated volume = 17.93 Å³ per atom
1.0
-2.1180 1.1376 3.4889
-2.5253 -2.7886 1.9491
1.1105 -1.5922 3.7662
Cl Ir P
1 1 1
Cartesian
0.0000 0.0000 0.0000 Cl
-1.7663 -1.6216 4.6021 Ir
-0.8832 -0.8108 2.3010 P

=====

# 3
CsHf3Cr (PBE, relaxed); DOS(E_F) = 1.7841 states/eV/atom; VASP energy = -27.8 eV for the cell shown; space group = Pm-3m; formation energy from the elements = 242.7 kJ per mole of atoms; polymorph energy (0 for the lowest one) = 1482 meV/atom; crystal system = cubic; calculated volume = 28.47 Å³ per atom
1.0
-2.2109 4.2858 -2.0011
-4.4250 -2.6544 -0.7961
-1.6709 1.3588 4.7563
Cs Cr Hf
1 1 3
Cartesian
0.0000 0.0000 0.0000 Cs
-4.1534 1.4951 0.9795 Cr
-2.2125 -1.3272 -0.3981 Hf
-0.8354 0.6794 2.3782 Hf
-1.1054 2.1429 -1.0006 Hf

=====

# 4
Pm6CdHg5 (PBE, relaxed); DOS(E_F) = 1.1768 states/eV/atom; VASP energy = -36.3 eV for the cell shown; space group = P2/m; formation energy from the elements = -43.2 kJ per mole of atoms; polymorph energy (0 for the lowest one) = 0 meV/atom; crystal system = monoclinic; calculated volume = 27.74 Å³ per atom
1.0
-0.2951 -1.3467 -5.1941
5.9134 -4.8068 0.9103
-4.9779 -5.2822 4.4441
Cd Hg Pm
1 5 6
Cartesian
0.0000 0.0000 0.0000 Cd
1.1084 -5.0521 -1.5246 Hg
-3.4554 -4.0157 1.2421 Hg
2.9567 -2.4034 0.4552 Hg
4.0958 -7.4201 -1.0818 Hg
-0.4680 -6.3837 1.6849 Hg
0.8844 -8.2369 -0.6898 Pm
-2.0759 -5.8306 -1.1455 Pm
1.3445 -1.8862 -2.3673 Pm
-0.7040 -9.5496 2.5276 Pm
2.7163 -5.6052 1.3059 Pm
-0.2439 -3.1989 0.8501 Pm

=====

# 5
YTeSe2 (PBE, relaxed); DOS(E_F) = 1.6678 states/eV/atom; formation energy (no corrections) = -0.44 eV per atom; VASP energy = -18.3 eV for the cell shown; space group = F-43m; crystal system = cubic; calculated volume = 24.80 Å³ per atom
1.0
5.1963 0.0000 0.0000
2.5982 4.5001 0.0000
2.5982 1.5000 4.2428
Se Te Y
2 1 1
Cartesian
0.0000 0.0000 0.0000 Se
2.5982 1.5000 1.0607 Se
5.1963 3.0001 2.1214 Te
7.7945 4.5001 3.1821 Y

=====

# 6
NdYHo2Er2 (PBE, relaxed); DOS(E_F) = 1.6140 states/eV/atom; VASP energy = -58.2 eV for the cell shown; space group = Pnnm; formation energy from the elements = 6.9 kJ per mole of atoms; crystal system = orthorhombic; calculated volume = 31.63 Å³ per atom
1.0
-0.1916 -4.4911 3.3584
9.7478 -0.0666 0.4671
-0.2372 4.1551 5.5429
Nd Y Ho Er
2 2 4 4
Cartesian
0.0000 0.0000 0.0000 Nd
4.6595 -0.2013 4.6842 Nd
4.7781 -2.2788 1.9127 Y
-0.1186 2.0775 2.7714 Y
7.9693 -1.2580 3.4598 Ho
1.3497 0.8555 5.9085 Ho
6.3189 3.0761 4.4741 Ho
3.1917 1.0124 1.5359 Ho
1.4694 -1.2129 3.1494 Er
6.4396 0.9895 1.6905 Er
7.8496 0.8104 6.2190 Er
3.0709 3.0990 4.3194 Er

=====

# 7
Dy2YHo2Tm2 (PBE, relaxed); DOS(E_F) = 2.5127 states/eV/atom; VASP energy = -32.8 eV for the cell shown; space group = R-3m; formation energy from the elements = 13.6 kJ per mole of atoms; crystal system = trigonal; calculated volume = 31.57 Å³ per atom
1.0
5.6186 0.0000 0.0000
2.8093 4.8658 0.0000
2.8093 1.6219 8.0834
Dy Y Ho Tm
2 1 2 2
Cartesian
2.8093 1.6219 4.6130 Dy
8.4279 4.8658 3.4704 Dy
0.0000 0.0000 0.0000 Y
5.6186 3.2439 2.2693 Ho
5.6186 3.2439 5.8141 Ho
8.4279 4.8658 6.9064 Tm
2.8093 1.6219 1.1769 Tm

=====

# 8
Sc2CdIn2 (PBE, relaxed); DOS(E_F) = 0.8910 states/eV/atom; VASP energy = -18.5 eV for the cell shown; space group = I4/mmm; formation energy from the elements = 10.7 kJ per mole of atoms; crystal system = tetragonal; calculated volume = 26.45 Å³ per atom
1.0
-0.2752 -3.0423 -3.2570
0.3338 -3.2682 3.0245
-6.5717 -3.2400 0.5207
Sc Cd In
2 1 2
Cartesian
-3.4088 -4.7188 -1.4263 Sc
-3.1043 -4.8317 1.7145 Sc
0.0000 0.0000 0.0000 Cd
-1.3062 -3.1724 0.0126 In
-5.2070 -6.3781 0.2755 In